1.
Density functional theory data (GGA-PBE) for Fe2TcPd after structural relaxation.

abc: 2.6974 2.6974 25.7915
angles: 90.00 90.00 120.00
Space group R-3m (No. 166, hexagonal axes)
Symmetry-distinct sites (fractional):
Fe1 0.0000 0.0000 0.2489 [6 per cell]
Tc1 0.0000 0.0000 0.5000 [3 per cell]
Pd1 0.0000 0.0000 0.0000 [3 per cell]

Summary:
Electronic total energy = -95.98 eV/cell
DOS at the Fermi energy = 14.87 states/eV per cell
Formation energy = 123 meV per atom



2.
Density functional theory data (GGA-PBE) for LiMnCu after structural relaxation.

abc: 2.4865 3.6409 8.1093
angles: 90.00 93.47 90.00
Space group P2_1/m (No. 11)
Symmetry-distinct sites (fractional):
Li1 0.2188 0.2500 0.4016 [2 per cell]
Mn1 0.1596 0.2500 0.0629 [2 per cell]
Cu1 0.3133 0.2500 0.7604 [2 per cell]

Summary:
Electronic total energy = -29.36 eV/cell
DOS at the Fermi energy = 4.80 states/eV per cell
Formation energy = 166 meV per atom